(1)
Density functional theory data (PBE) for a relaxed structure of Dy7Tl5In.

Symmetry: Imm2 (44)
Total magnetization in μB/f.u.: 0.0
Formation energy in eV/atom: -0.15
Theoretical density in g cm⁻³: 9.95

a = 8.2592 Å, b = 8.2592 Å, c = 8.2592 Å
α = 132.62°, β = 99.21°, γ = 99.37°
Last column: nearest neighbours and their distance in Å.
Atoms (fractional coordinates):
Dy  0.0000  0.0000  0.0000  4 Tl 3.34, 4 Dy 3.64-3.69, 1 In 3.65
Dy  0.2981  0.6197  0.6784  5 Tl 3.19-3.29, 1 Dy 3.46, 1 In 3.47
Dy  0.3516  0.3516  0.0000  1 In 3.28, 6 Tl 3.30-3.32
Dy  0.4263  0.1023  0.3240  5 Tl 3.18-3.32, 1 Dy 3.25
Dy  0.7782  0.1023  0.6760  5 Tl 3.18-3.32, 1 Dy 3.25
Dy  0.8499  0.3499  0.5000  4 Tl 3.05, 2 Dy 3.25
Dy  0.9413  0.6197  0.3216  5 Tl 3.19-3.29, 1 Dy 3.46, 1 In 3.47
Tl  0.0987  0.1073  0.4807  7 Dy 3.05-3.34, 3 Tl 3.25-3.39
Tl  0.0987  0.6180  0.9913  7 Dy 3.05-3.34, 3 Tl 3.25-3.39
Tl  0.3592  0.8592  0.5000  6 Dy 3.19-3.32, 4 Tl 3.26
Tl  0.6266  0.1073  0.0087  7 Dy 3.05-3.34, 3 Tl 3.25-3.39
Tl  0.6266  0.6180  0.5193  7 Dy 3.05-3.34, 3 Tl 3.25-3.39
In  0.6581  0.6581  0.0000  4 Dy 3.28-3.65

(2)
Density functional theory data (PBE) for a relaxed structure of SmPd7Au4.

Symmetry: C2/m (12)
Total magnetization in μB/f.u.: 0.0
Formation energy in eV/atom: -0.11
Theoretical density in g cm⁻³: 12.55
Distance to the lowest polymorph of the same formula in meV/atom: 205

a = 5.7300 Å, b = 5.7300 Å, c = 9.9034 Å
α = 116.60°, β = 116.60°, γ = 52.19°
Last column: nearest neighbours and their distance in Å.
Atoms (fractional coordinates):
Sm  0.0000  0.0000  0.0000  4 Pd 2.52-2.69
Pd  0.1110  0.1110  0.4546  5 Au 2.75-2.83, 4 Pd 2.84-2.92
Pd  0.2918  0.2918  0.0847  4 Pd 2.66-2.91, 1 Sm 2.69, 4 Au 2.73-2.85
Pd  0.3435  0.3435  0.3796  5 Pd 2.70-2.92, 4 Au 2.73-2.89
Pd  0.5000  0.5000  0.0000  2 Sm 2.52, 2 Pd 2.66, 2 Au 2.79
Pd  0.6565  0.6565  0.6204  5 Pd 2.70-2.92, 4 Au 2.73-2.89
Pd  0.7082  0.7082  0.9153  4 Pd 2.66-2.91, 1 Sm 2.69, 4 Au 2.73-2.85
Pd  0.8890  0.8890  0.5454  5 Au 2.75-2.83, 4 Pd 2.84-2.92
Au  0.1865  0.1865  0.7711  8 Pd 2.73-2.87, 1 Au 2.85
Au  0.4117  0.4117  0.6842  7 Pd 2.73-2.89, 1 Au 2.85
Au  0.5883  0.5883  0.3158  7 Pd 2.73-2.89, 1 Au 2.85
Au  0.8135  0.8135  0.2289  8 Pd 2.73-2.87, 1 Au 2.85

(3)
Density functional theory data (PBE) for a relaxed structure of RbSbPtO6.

Symmetry: P312 (149)
Raw formation energy in eV/atom: -0.965
Total magnetization in μB/f.u.: 2.1
Theoretical density in g cm⁻³: 5.20

a = 5.3358 Å, b = 5.3358 Å, c = 6.4573 Å
α = 90.00°, β = 90.00°, γ = 120.00°
Last column: nearest neighbours and their distance in Å.
Atoms (fractional coordinates):
Rb  0.0000  0.0000  0.0000  6 O 2.92
Sb  0.3333  0.6667  0.5000  6 O 2.03
Pt  0.6667  0.3333  0.5000  6 O 1.99
O  0.3802  0.0066  0.6719  1 Pt 1.99, 1 Sb 2.03
O  0.3802  0.3735  0.3281  1 Pt 1.99, 1 Sb 2.03
O  0.6265  0.0066  0.3281  1 Pt 1.99, 1 Sb 2.03
O  0.6265  0.6198  0.6719  1 Pt 1.99, 1 Sb 2.03
O  0.9934  0.3735  0.6719  1 Pt 1.99, 1 Sb 2.03
O  0.9934  0.6198  0.3281  1 Pt 1.99, 1 Sb 2.03

(4)
Density functional theory data (PBE) for a relaxed structure of Tb2SbO2.

Symmetry: P-1 (2)
Raw formation energy in eV/atom: -2.612
Total magnetization in μB/f.u.: 0.0
Theoretical density in g cm⁻³: 8.23
Distance to the lowest polymorph of the same formula in meV/atom: 108

a = 6.1666 Å, b = 6.2448 Å, c = 6.4178 Å
α = 61.09°, β = 61.82°, γ = 73.81°
Last column: nearest neighbours and their distance in Å.
Atoms (fractional coordinates):
Tb  0.0115  0.3127  0.2893  4 O 2.25-2.45
Tb  0.3132  0.0083  0.7912  4 O 2.24-2.44
Tb  0.6868  0.9917  0.2088  4 O 2.24-2.44
Tb  0.9885  0.6873  0.7107  4 O 2.25-2.45
Sb  0.4492  0.5456  0.2637  2 Sb 3.14-3.44, 8 Tb 3.23-3.48, 5 O 3.30-3.48
Sb  0.5508  0.4544  0.7363  2 Sb 3.14-3.44, 8 Tb 3.23-3.48, 5 O 3.30-3.48
O  0.0075  0.2455  0.9759  4 Tb 2.26-2.45
O  0.2457  0.0076  0.4775  4 Tb 2.24-2.44
O  0.7543  0.9924  0.5225  4 Tb 2.24-2.44
O  0.9925  0.7545  0.0241  4 Tb 2.26-2.45

(5)
Density functional theory data (PBE) for a relaxed structure of YZn2Ir.

Symmetry: P2/m (10)
Total magnetization in μB/f.u.: 0.0
Formation energy in eV/atom: -0.31
Theoretical density in g cm⁻³: 9.03

a = 3.2576 Å, b = 4.7253 Å, c = 4.9223 Å
α = 90.00°, β = 91.45°, γ = 90.00°
Last column: nearest neighbours and their distance in Å.
Atoms (fractional coordinates):
Y  0.0000  0.0000  0.0000  4 Ir 2.92-2.99, 8 Zn 3.12-3.15, 2 Y 3.26
Zn  0.4838  0.5000  0.7434  2 Zn 2.40-2.53, 2 Ir 2.65
Zn  0.5162  0.5000  0.2566  2 Zn 2.40-2.53, 2 Ir 2.65
Ir  0.5000  0.0000  0.5000  4 Zn 2.65, 2 Y 2.92

(6)
Density functional theory data (PBE) for a relaxed structure of BeAs2Pt.

Symmetry: Cmmm (65)
Total magnetization in μB/f.u.: 0.0
Formation energy in eV/atom: 0.26
Theoretical density in g cm⁻³: 9.51

a = 2.9441 Å, b = 2.9441 Å, c = 7.2434 Å
α = 90.00°, β = 90.00°, γ = 100.29°
Last column: nearest neighbours and their distance in Å.
Atoms (fractional coordinates):
Be  0.0000  0.0000  0.0000  8 As 2.50-2.79
As  0.5000  0.5000  0.2267  4 Be 2.50-2.79, 2 Pt 2.73
As  0.5000  0.5000  0.7733  4 Be 2.50-2.79, 2 Pt 2.73
Pt  0.0000  0.0000  0.5000  8 As 2.73-3.00, 4 Pt 2.94

(7)
Density functional theory data (PBE) for a relaxed structure of CdICl2.

Symmetry: R-3m (166)
Raw formation energy in eV/atom: -0.269
Total magnetization in μB/f.u.: 0.0
Theoretical density in g cm⁻³: 3.39
Distance to the lowest polymorph of the same formula in meV/atom: 492

a = 12.6031 Å, b = 12.6031 Å, c = 12.6031 Å
α = 17.15°, β = 17.15°, γ = 17.15°
Last column: nearest neighbours and their distance in Å.
Atoms (fractional coordinates):
Cd  0.0000  0.0000  0.0000  2 Cl 2.26
I  0.5000  0.5000  0.5000  6 I 3.76
Cl  0.0608  0.0608  0.0608  1 Cd 2.26
Cl  0.9392  0.9392  0.9392  1 Cd 2.26

(8)
Density functional theory data (PBE) for a relaxed structure of AcLa2Sm5Er.

Symmetry: I4/mcm (140)
Total magnetization in μB/f.u.: 0.0
Formation energy in eV/atom: 0.25
Theoretical density in g cm⁻³: 7.39

a = 10.2310 Å, b = 10.2310 Å, c = 10.2310 Å
α = 128.36°, β = 128.36°, γ = 76.04°
Last column: nearest neighbours and their distance in Å.
Atoms (fractional coordinates):
Ac  0.2500  0.2500  0.0000  10 Sm 3.67-4.03
Ac  0.7500  0.7500  0.0000  10 Sm 3.67-4.03
La  0.1179  0.6179  0.7359  1 La 2.97, 2 Sm 3.08
La  0.3821  0.1179  0.5000  1 La 2.97, 2 Sm 3.08
La  0.6179  0.8821  0.5000  1 La 2.97, 2 Sm 3.08
La  0.8821  0.3821  0.2641  1 La 2.97, 2 Sm 3.08
Sm  0.0000  0.0000  0.0000  4 La 3.56, 8 Sm 3.88
Sm  0.0747  0.1510  0.5000  1 La 3.08, 1 Er 3.23
Sm  0.1510  0.6510  0.0763  1 La 3.08, 1 Er 3.23
Sm  0.3490  0.4253  0.5000  1 La 3.08, 1 Er 3.23
Sm  0.4253  0.9253  0.0763  1 La 3.08, 1 Er 3.23
Sm  0.5000  0.5000  0.0000  4 La 3.56, 8 Sm 3.88
Sm  0.5747  0.0747  0.9237  1 La 3.08, 1 Er 3.23
Sm  0.6510  0.5747  0.5000  1 La 3.08, 1 Er 3.23
Sm  0.8490  0.3490  0.9237  1 La 3.08, 1 Er 3.23
Sm  0.9253  0.8490  0.5000  1 La 3.08, 1 Er 3.23
Er  0.2500  0.7500  0.5000  4 Sm 3.23
Er  0.7500  0.2500  0.5000  4 Sm 3.23

(9)
Density functional theory data (PBE) for a relaxed structure of AlSn2Bi.

Symmetry: P4/mmm (123)
Total magnetization in μB/f.u.: 0.0
Formation energy in eV/atom: 0.18
Theoretical density in g cm⁻³: 7.29
Distance to the lowest polymorph of the same formula in meV/atom: 71

a = 5.1006 Å, b = 5.1006 Å, c = 4.1431 Å
α = 90.00°, β = 90.00°, γ = 90.00°
Last column: nearest neighbours and their distance in Å.
Atoms (fractional coordinates):
Al  0.0000  0.0000  0.0000  8 Sn 3.29, 4 Bi 3.61
Sn  0.0000  0.5000  0.5000  4 Bi 3.29, 4 Al 3.29, 4 Sn 3.61
Sn  0.5000  0.0000  0.5000  4 Bi 3.29, 4 Al 3.29, 4 Sn 3.61
Bi  0.5000  0.5000  0.0000  8 Sn 3.29, 4 Al 3.61

(10)
Density functional theory data (PBE) for a relaxed structure of SrAcGa.

Symmetry: P2_1/m (11)
Total magnetization in μB/f.u.: 0.0
Formation energy in eV/atom: -0.32
Theoretical density in g cm⁻³: 5.51
Distance to the lowest polymorph of the same formula in meV/atom: 0

a = 4.7179 Å, b = 4.3776 Å, c = 11.4584 Å
α = 90.00°, β = 101.82°, γ = 90.00°
Last column: nearest neighbours and their distance in Å.
Atoms (fractional coordinates):
Sr  0.1902  0.2500  0.3800  1 Ga 3.47
Sr  0.8098  0.7500  0.6200  1 Ga 3.47
Ac  0.4259  0.2500  0.8512  6 Ga 3.33-3.41
Ac  0.5741  0.7500  0.1488  6 Ga 3.33-3.41
Ga  0.0355  0.2500  0.0706  2 Ga 2.70
Ga  0.9645  0.7500  0.9294  2 Ga 2.70

(11)
Density functional theory data (PBE) for a relaxed structure of Rb2NbTlGa.

Symmetry: P4/mmm (123)
Total magnetization in μB/f.u.: 4.6
Formation energy in eV/atom: 1.21
Theoretical density in g cm⁻³: 3.56

a = 6.9719 Å, b = 6.9719 Å, c = 5.1604 Å
α = 90.00°, β = 90.00°, γ = 90.00°
Last column: nearest neighbours and their distance in Å.
Atoms (fractional coordinates):
Rb  0.0000  0.5000  0.0000  2 Tl 3.49
Rb  0.5000  0.0000  0.0000  2 Tl 3.49
Nb  0.0000  0.0000  0.5000  8 Rb 4.34
Tl  0.5000  0.5000  0.0000  2 Ga 2.58
Ga  0.5000  0.5000  0.5000  2 Tl 2.58

(12)
Density functional theory data (PBE) for a relaxed structure of As2PtBr2.

Symmetry: I4/mmm (139)
Raw formation energy in eV/atom: 0.606
Total magnetization in μB/f.u.: 0.0
Theoretical density in g cm⁻³: 6.21
Distance to the lowest polymorph of the same formula in meV/atom: 0

a = 11.1312 Å, b = 11.1312 Å, c = 11.1312 Å
α = 161.77°, β = 161.77°, γ = 25.89°
Last column: nearest neighbours and their distance in Å.
Atoms (fractional coordinates):
As  0.2500  0.7500  0.5000  4 As 2.49
As  0.7500  0.2500  0.5000  4 As 2.49
Pt  0.0000  0.0000  0.0000  8 Br 2.95
Br  0.4272  0.4272  0.0000  4 Pt 2.95, 1 Br 3.16
Br  0.5728  0.5728  0.0000  4 Pt 2.95, 1 Br 3.16